Entry 1:
This record from Alexandria via LeMat-Bulk describes ErSiNi3 after structural relaxation. The functional is PBE.

Summary:
formation energy without anion corrections: -207 kJ/mol of formula units

The structure in extended XYZ format:
```
20
Lattice="5.6676 0.0000 0.0000 -2.8338 4.9083 0.0000 0.0000 0.0000 10.8286" Properties=species:S:1:pos:R:3 pbc="T T T"
Er 0.0000 0.0000 0.0000
Er 0.0000 0.0000 5.4143
Er 0.0000 3.2722 2.7071
Er 2.8338 1.6361 8.1214
Si 0.0000 3.2722 6.9182
Si 0.0000 3.2722 9.3246
Si 2.8338 1.6361 1.5040
Si 2.8338 1.6361 3.9103
Ni -1.4169 2.4542 0.0000
Ni -1.4169 2.4542 5.4143
Ni 0.0000 1.3567 8.1214
Ni -1.6589 4.2300 8.1214
Ni 1.1749 0.6783 2.7071
Ni 2.8338 0.0000 0.0000
Ni 2.8338 0.0000 5.4143
Ni 1.4169 2.4542 0.0000
Ni 1.4169 2.4542 5.4143
Ni 1.6589 4.2300 8.1214
Ni 4.4927 0.6783 2.7071
Ni 2.8338 3.5516 2.7071
```



Entry 2:
This record from Alexandria via LeMat-Bulk describes ErSiNi11 after structural relaxation. The functional is PBE.

Summary:
formation energy without anion corrections: -346 kJ/mol of formula units

The structure in extended XYZ format:
```
13
Lattice="2.3338 -5.7757 0.0000 2.3338 5.7757 0.0000 -2.1781 0.0000 5.7960" Properties=species:S:1:pos:R:3 pbc="T T T"
Er 0.0000 0.0000 0.0000
Si 1.2447 0.0000 2.8980
Ni -1.0891 0.0000 2.8980
Ni 1.1669 2.8879 0.0000
Ni 0.1397 3.7382 3.7458
Ni 0.1638 1.2749 4.4935
Ni 2.3496 3.7382 2.0501
Ni 2.3256 1.2749 1.3025
Ni 1.1669 -2.8879 0.0000
Ni 0.1638 -1.2749 4.4935
Ni 0.1397 -3.7382 3.7458
Ni 2.3256 -1.2749 1.3025
Ni 2.3496 -3.7382 2.0501
```



Entry 3:
This record from Alexandria via LeMat-Bulk describes Er3Si2Ni6 after structural relaxation. The functional is PBE.

Summary:
formation energy without anion corrections: -724 kJ/mol of formula units

The structure in extended XYZ format:
```
22
Lattice="-4.3637 4.3637 4.3637 4.3637 -4.3637 4.3637 4.3637 4.3637 -4.3637" Properties=species:S:1:pos:R:3 pbc="T T T"
Er 2.4985 0.0000 0.0000
Er 6.2289 0.0000 0.0000
Er 0.0000 2.4985 0.0000
Er 0.0000 0.0000 2.4985
Er 0.0000 6.2289 0.0000
Er 0.0000 0.0000 6.2289
Si 2.1819 2.1819 -2.1819
Si 2.1819 -2.1819 2.1819
Si -2.1819 2.1819 2.1819
Si 2.1819 2.1819 2.1819
Ni 4.3637 1.4816 -1.4816
Ni 4.3637 -1.4816 1.4816
Ni 1.4816 4.3637 -1.4816
Ni 2.8821 2.8821 0.0000
Ni 2.8821 0.0000 2.8821
Ni 1.4816 -1.4816 4.3637
Ni 4.3637 1.4816 1.4816
Ni 0.0000 2.8821 2.8821
Ni -1.4816 4.3637 1.4816
Ni -1.4816 1.4816 4.3637
Ni 1.4816 4.3637 1.4816
Ni 1.4816 1.4816 4.3637
```



Entry 4:
This record from Alexandria via LeMat-Bulk describes Er2SiNi after structural relaxation. The functional is PBE.

Summary:
formation energy without anion corrections: -104 kJ/mol of formula units

The structure in extended XYZ format:
```
4
Lattice="1.8744 1.0822 7.2599 -1.8744 1.0822 7.2599 0.0000 -2.1644 7.2599" Properties=species:S:1:pos:R:3 pbc="T T T"
Er 0.0000 0.0000 5.3199
Er 0.0000 0.0000 16.4598
Si 0.0000 0.0000 0.0000
Ni 0.0000 0.0000 10.8898
```



Entry 5:
This record from Alexandria via LeMat-Bulk describes ErSiNi3 after structural relaxation. The functional is PBE.

Summary:
formation energy without anion corrections: -124 kJ/mol of formula units

The structure in extended XYZ format:
```
10
Lattice="-2.3943 2.3943 7.4443 2.3943 -2.3943 7.4443 2.3943 2.3943 -7.4443" Properties=species:S:1:pos:R:3 pbc="T T T"
Er 0.0000 0.0000 2.0161
Er 0.0000 0.0000 12.8725
Si 2.3943 0.0000 3.7221
Si 0.0000 0.0000 7.4443
Ni 1.2392 2.3943 -1.9079
Ni 1.1551 0.0000 5.5363
Ni 2.3943 1.2392 1.9079
Ni 0.0000 2.3943 0.2989
Ni 0.0000 1.1551 9.3522
Ni 0.0000 2.3943 7.1454
```



Entry 6:
This record from Alexandria via LeMat-Bulk describes Er3Si2Ni7 after structural relaxation. The functional is PBE.

Summary:
formation energy without anion corrections: -406 kJ/mol of formula units

The structure in extended XYZ format:
```
12
Lattice="1.9787 -13.2181 0.0000 1.9787 13.2181 0.0000 0.0000 0.0000 3.6676" Properties=species:S:1:pos:R:3 pbc="T T T"
Er 0.0000 0.0000 0.0000
Er 1.9787 7.8887 0.0000
Er 1.9787 -7.8887 0.0000
Si 1.9787 2.1788 1.8338
Si 1.9787 -2.1788 1.8338
Ni 1.9787 9.8986 1.8338
Ni 1.9787 5.4499 1.8338
Ni 1.9787 3.4682 0.0000
Ni 1.9787 0.0000 1.8338
Ni 1.9787 -3.4682 0.0000
Ni 1.9787 -5.4499 1.8338
Ni 1.9787 -9.8986 1.8338
```



Entry 7:
This record from Alexandria via LeMat-Bulk describes Er2SiNi after structural relaxation. The functional is PBE.

Summary:
formation energy without anion corrections: -193 kJ/mol of formula units

The structure in extended XYZ format:
```
4
Lattice="0.0000 3.4193 3.4193 3.4193 0.0000 3.4193 3.4193 3.4193 0.0000" Properties=species:S:1:pos:R:3 pbc="T T T"
Er 1.7097 1.7097 1.7097
Er 5.1290 5.1290 5.1290
Si 0.0000 0.0000 0.0000
Ni 3.4193 3.4193 3.4193
```



Entry 8:
This record from Alexandria via LeMat-Bulk describes Er2SiNi7 after structural relaxation. The functional is PBE.

Summary:
formation energy without anion corrections: -13 kJ/mol of formula units

The structure in extended XYZ format:
```
10
Lattice="0.0000 4.3032 4.3032 4.3032 0.0000 4.3032 4.3032 4.3032 0.0000" Properties=species:S:1:pos:R:3 pbc="T T T"
Er 2.1516 2.1516 2.1516
Er 6.4548 6.4548 6.4548
Si 0.0000 0.0000 0.0000
Ni 4.3032 4.3032 2.1047
Ni 4.3032 2.1047 4.3032
Ni 6.5018 4.3032 4.3032
Ni 4.3032 4.3032 4.3032
Ni 2.1047 4.3032 4.3032
Ni 4.3032 6.5018 4.3032
Ni 4.3032 4.3032 6.5018
```



What did the fourth record say?
This record from Alexandria via LeMat-Bulk describes Er2SiNi after structural relaxation. The functional is PBE.

Summary:
formation energy without anion corrections: -104 kJ/mol of formula units

The structure in extended XYZ format:
```
4
Lattice="1.8744 1.0822 7.2599 -1.8744 1.0822 7.2599 0.0000 -2.1644 7.2599" Properties=species:S:1:pos:R:3 pbc="T T T"
Er 0.0000 0.0000 5.3199
Er 0.0000 0.0000 16.4598
Si 0.0000 0.0000 0.0000
Ni 0.0000 0.0000 10.8898
```



Which of these has the highest formation energy without anion corrections? Er2SiNi7